Below is a geometry-optimized AlCuSe2 structure, with properties calculated at the PBE level.

Results
The total energy comes out at -4.243 eV per atom.

```
8
Lattice="-2.8204 2.8204 5.5711 2.8204 -2.8204 5.5711 2.8204 2.8204 -5.5711" Properties=species:S:1:pos:R:3 pbc="T T T"
Al 0.0000 0.0000 0.0000
Al 0.0000 2.8204 2.7856
Cu 2.8204 0.0000 2.7856
Cu 0.0000 0.0000 5.5711
Se 1.4102 1.4002 -1.3928
Se 1.4202 -1.4102 6.9639
Se 1.4102 1.4202 4.1784
Se 1.4002 4.2306 1.3928
```